VASP calculation (PBE with a Hubbard U) on FeP2BrO after structural relaxation.

```
5
Lattice="-4.4264 -0.0760 -0.3631 -0.1508 -3.6040 2.5921 -0.4071 3.1170 4.3101" Properties=species:S:1:pos:R:3 pbc="T T T"
O -2.4922 -0.2815 3.2695
P -0.0754 -1.8020 1.2961
P -2.2132 -0.0380 -0.1816
Fe 0.0000 0.0000 0.0000
Br -0.2036 1.5585 2.1550
```

Values from the calculation:
The energy is -17.3 eV for the cell shown. Its space-group type is No. 123.